# 1
{"formula": "IrRu2Pt", "functional": "meta-GGA SCAN", "state": "PBEsol geometry", "lattice_angstrom": [[2.693, 0.000, 0.000], [-1.347, 2.332, 0.000], [0.000, 0.000, 26.575]], "species": ["Ir", "Ir", "Ir", "Ru", "Ru", "Ru", "Ru", "Ru", "Ru", "Pt", "Pt", "Pt"], "frac_coords": [[0.000, 0.000, 0.000], [0.333, 0.667, 0.667], [0.667, 0.333, 0.333], [0.000, 0.000, 0.252], [0.000, 0.000, 0.506], [0.333, 0.667, 0.173], [0.333, 0.667, 0.918], [0.667, 0.333, 0.585], [0.667, 0.333, 0.840], [0.000, 0.000, 0.754], [0.333, 0.667, 0.421], [0.667, 0.333, 0.088]], "space_group": "No. 160", "formation_energy_ev_per_atom": 0.02, "magnetic_moment_mub_per_cell": 0.00, "relative_energy_mev_per_atom": 38.7}



# 2
{"formula": "IrRu2Pt", "functional": "meta-GGA SCAN", "state": "PBEsol geometry", "lattice_angstrom": [[8.979, 0.000, 0.000], [0.000, 2.691, 0.000], [-0.795, 0.000, 4.598]], "species": ["Ir", "Ir", "Ru", "Ru", "Ru", "Ru", "Pt", "Pt"], "frac_coords": [[0.000, 0.000, 0.000], [0.500, 0.500, 0.000], [0.247, 0.500, 0.242], [0.253, 0.000, 0.758], [0.747, 0.000, 0.242], [0.753, 0.500, 0.758], [0.000, 0.500, 0.500], [0.500, 0.000, 0.500]], "space_group": "No. 12", "formation_energy_ev_per_atom": 0.03, "magnetic_moment_mub_per_cell": 0.05, "relative_energy_mev_per_atom": 50.3}



# 3
{"formula": "IrRu2Pt", "functional": "meta-GGA SCAN", "state": "PBEsol geometry", "lattice_angstrom": [[3.799, 0.000, 0.000], [0.000, 3.799, 0.000], [0.000, 0.000, 7.680]], "species": ["Ir", "Ir", "Ru", "Ru", "Ru", "Ru", "Pt", "Pt"], "frac_coords": [[0.000, 0.000, 0.000], [0.500, 0.500, 0.500], [0.000, 0.500, 0.250], [0.000, 0.500, 0.750], [0.500, 0.000, 0.250], [0.500, 0.000, 0.750], [0.000, 0.000, 0.500], [0.500, 0.500, 0.000]], "space_group": "No. 139", "formation_energy_ev_per_atom": 0.00, "magnetic_moment_mub_per_cell": 0.00, "relative_energy_mev_per_atom": 17.9}



- Number 3 is which compound?
  IrRu2Pt